No. 1
Compound: YIrO5
Source: Alexandria
Functional: PBE
Structure: optimized geometry

Structure (extended XYZ):
```
14
Lattice="5.237 0.004 1.888 1.171 5.104 1.888 -0.047 -0.037 7.465" Properties=species:S:1:pos:R:3 pbc="T T T"
Y 3.358 2.338 3.754
Y 3.004 2.734 7.486
Ir 0.000 0.000 0.000
Ir -0.023 -0.019 3.732
O 5.066 3.897 3.792
O 2.273 3.509 5.333
O 4.904 4.052 7.525
O 4.817 0.508 3.754
O 2.458 3.656 2.175
O 3.904 1.415 9.065
O 1.545 4.564 7.486
O 1.457 1.020 3.715
O 4.089 1.563 5.908
O 1.296 1.175 7.448
```

- formation energy (no corrections) (eV/atom) = -1.537
- E_tot (eV per cell) = -101.7
- DOS(E_F) (states/eV per cell) = 10.34
- symmetry = C2/c

---

No. 2
Compound: RbBaCd
Source: Alexandria
Functional: PBE
Structure: optimized geometry

Structure (extended XYZ):
```
6
Lattice="-3.526 -0.087 -3.824 -0.011 -4.790 0.119 -9.849 2.642 9.020" Properties=species:S:1:pos:R:3 pbc="T T T"
Rb -7.063 0.133 4.739
Rb -6.323 -2.368 0.576
Ba -2.216 0.012 0.274
Ba -11.169 -2.247 5.041
Cd -10.069 0.209 7.510
Cd -3.316 -2.443 -2.195
```

- E_tot (eV per cell) = -8.6
- excess energy over the best structure of this formula in the dataset (meV per atom) = 0
- DOS(E_F) (states/eV per cell) = 5.34
- symmetry = Cmcm
- energy of formation from the pure elements (meV/atom) = -157

---

No. 3
Compound: LaPm12Dy7
Source: Alexandria
Functional: PBE
Structure: optimized geometry

Structure (extended XYZ):
```
20
Lattice="-3.502 -6.059 7.421 2.233 -5.052 -8.576 7.511 6.175 3.082" Properties=species:S:1:pos:R:3 pbc="T T T"
La 0.000 0.000 0.000
Pm 1.474 -2.757 5.554
Pm -0.039 -5.980 2.209
Pm 1.549 -0.194 3.384
Pm 2.895 -5.057 3.560
Pm 4.636 0.753 4.310
Pm 6.348 -1.221 2.199
Pm -0.106 -3.715 -0.272
Pm 1.605 -5.689 -2.383
Pm 3.347 0.122 -1.633
Pm 4.693 -4.741 -1.457
Pm 6.281 1.044 -0.282
Pm 4.768 -2.179 -3.627
Dy 5.086 -2.901 4.730
Dy -0.801 -2.378 2.653
Dy 2.956 1.795 1.173
Dy 3.121 -2.468 0.963
Dy 3.286 -6.730 0.754
Dy 7.042 -2.557 -0.726
Dy 1.156 -2.034 -2.803
```

- E_tot (eV per cell) = -89.6
- excess energy over the best structure of this formula in the dataset (meV per atom) = 0
- DOS(E_F) (states/eV per cell) = 28.65
- symmetry = R-3m
- energy of formation from the pure elements (meV/atom) = 228

---

No. 4
Compound: LaPr3Os
Source: Alexandria
Functional: PBE
Structure: optimized geometry

Structure (extended XYZ):
```
5
Lattice="-3.757 2.286 -3.593 -3.902 -3.767 1.684 -1.706 3.583 4.063" Properties=species:S:1:pos:R:3 pbc="T T T"
Pr -1.951 -1.883 0.842
Pr -0.853 1.791 2.031
Pr -1.879 1.143 -1.797
Os 0.000 0.000 0.000
La -4.682 1.051 1.076
```

- E_tot (eV per cell) = -29.8
- excess energy over the best structure of this formula in the dataset (meV per atom) = 217
- DOS(E_F) (states/eV per cell) = 7.45
- symmetry = Pm-3m
- energy of formation from the pure elements (meV/atom) = 137

---

No. 5
Compound: Sc3Cd3In2
Source: Alexandria
Functional: PBE
Structure: optimized geometry

Structure (extended XYZ):
```
16
Lattice="-2.951 2.736 -2.299 2.880 -3.790 -3.535 -10.748 -9.970 1.931" Properties=species:S:1:pos:R:3 pbc="T T T"
Sc -4.461 -4.569 -4.382
Sc -9.344 -9.225 1.015
Sc -1.475 -1.798 -4.919
Sc -6.357 -6.454 0.479
Sc -3.659 -1.993 -2.348
Sc -7.160 -9.030 -1.556
Cd -6.088 -3.757 -1.329
Cd -9.220 -11.430 -1.769
Cd -1.598 0.408 -2.135
Cd -4.731 -7.266 -2.575
Cd -1.542 -4.467 -3.337
Cd -9.277 -6.556 -0.566
In -10.160 -8.815 -2.122
In -3.511 -4.853 -1.270
In -7.308 -6.169 -2.634
In -0.659 -2.208 -1.782
```

- E_tot (eV per cell) = -57.7
- DOS(E_F) (states/eV per cell) = 13.28
- symmetry = Cmcm
- energy of formation from the pure elements (meV/atom) = -204

---

No. 6
Compound: Be2SiPI
Source: Alexandria
Functional: PBE
Structure: optimized geometry

Structure (extended XYZ):
```
5
Lattice="-4.058 -1.403 -0.325 1.405 -3.187 -3.788 0.832 -3.076 2.896" Properties=species:S:1:pos:R:3 pbc="T T T"
I -0.911 -3.833 -0.608
P 0.702 -1.593 -1.894
Si 0.000 0.000 0.000
Be 0.416 -1.538 1.448
Be -2.029 -0.701 -0.162
```

- formation energy (no corrections) (eV/atom) = 0.762
- E_tot (eV per cell) = -16.0
- DOS(E_F) (states/eV per cell) = 1.64
- symmetry = P4/mmm

---

No. 7
Compound: Ga5Pb3F12
Source: Alexandria
Functional: PBE
Structure: optimized geometry

Structure (extended XYZ):
```
80
Lattice="12.418 0.000 0.000 -4.139 11.708 0.000 -4.139 -5.854 10.139" Properties=species:S:1:pos:R:3 pbc="T T T"
Pb 7.244 3.659 1.267
Pb 7.244 8.049 1.267
Pb -1.035 5.122 6.337
Pb 1.035 -0.732 3.802
Pb 9.313 0.000 2.535
Pb 1.035 5.854 2.535
Pb 3.104 0.000 7.604
Pb -5.174 5.854 7.604
Pb 3.104 6.586 6.337
Pb 5.174 0.732 3.802
Pb -3.104 -2.195 8.872
Pb -3.104 2.195 8.872
Ga -1.035 2.927 2.535
Ga -2.070 5.854 0.000
Ga 0.000 0.000 0.000
Ga 3.104 2.195 1.267
Ga 4.139 -2.927 5.070
Ga 4.139 5.854 0.000
Ga -3.104 6.586 3.802
Ga 5.174 -3.659 8.872
Ga 5.174 5.122 3.802
Ga 1.035 -2.927 7.604
Ga 3.104 8.781 2.535
Ga 2.070 2.927 5.070
Ga 6.209 0.000 0.000
Ga -2.070 -2.927 5.070
Ga -1.035 0.732 6.337
Ga -1.035 9.513 1.267
Ga -4.139 2.927 5.070
Ga 7.244 -0.732 6.337
Ga 1.035 3.659 8.872
Ga 5.174 2.927 7.604
F 8.200 1.254 0.508
F 0.078 3.994 4.238
F 9.119 2.674 2.828
F 5.369 1.815 1.340
F 1.551 4.515 6.804
F 8.679 5.813 1.734
F -0.840 6.713 4.168
F -3.299 9.893 1.340
F 0.518 7.193 6.804
F 5.809 5.894 1.734
F 6.287 3.114 3.730
F 6.287 10.454 0.508
F -3.621 5.223 5.578
F 2.470 4.372 0.902
F -4.217 8.594 3.730
F 2.148 -1.860 5.902
F -0.518 0.708 2.242
F 2.470 7.376 0.832
F 5.369 9.034 2.828
F -0.400 4.332 0.832
F -2.588 6.562 7.897
F 2.910 4.995 4.168
F 5.690 6.485 5.578
F 4.539 -1.482 9.237
F 1.229 0.859 5.972
F -1.551 -0.631 4.562
F -0.400 7.335 0.902
F -1.229 -3.180 7.312
F 6.727 -0.708 2.242
F 4.539 1.522 9.307
F 1.670 -1.522 9.307
F 1.991 7.714 4.238
F 4.658 5.146 7.897
F 8.357 -2.740 6.410
F 7.760 0.631 4.562
F -2.148 -4.600 9.631
F 1.670 1.482 9.237
F 3.621 -1.339 3.336
F -1.670 -0.040 8.405
F -2.148 2.740 6.410
F 7.438 -4.039 8.799
F 4.980 -0.859 5.972
F -1.229 4.039 8.799
F -4.539 0.040 8.405
F 2.588 1.339 3.336
F -4.980 3.180 7.312
F 4.061 1.860 5.902
F -4.061 4.600 9.631
```

- formation energy (no corrections) (eV/atom) = -1.873
- E_tot (eV per cell) = -344.7
- DOS(E_F) (states/eV per cell) = 24.79
- symmetry = Ia-3d

---

No. 8
Compound: YMn2Cr
Source: Alexandria
Functional: PBE
Structure: optimized geometry

Structure (extended XYZ):
```
4
Lattice="4.514 0.000 0.000 2.257 3.909 0.000 2.257 1.303 3.686" Properties=species:S:1:pos:R:3 pbc="T T T"
Cr 4.514 2.606 1.843
Mn 0.000 0.000 0.000
Mn 6.771 3.909 2.764
Y 2.257 1.303 0.921
```

- E_tot (eV per cell) = -32.6
- excess energy over the best structure of this formula in the dataset (meV per atom) = 265
- DOS(E_F) (states/eV per cell) = 4.51
- symmetry = F-43m
- energy of formation from the pure elements (meV/atom) = 464

---

Question: The lowest DOS(E_F) belongs to which entry?
Answer: Be2SiPI

---

Question: Which of these has the lowest E_tot?
Answer: Ga5Pb3F12

---

Question: The lowest DOS(E_F) belongs to which entry?
Answer: Be2SiPI

---

Question: Number 7 is which compound?
Answer: Ga5Pb3F12